[1]
Below is an optimized crystal structure of AgPO2F2, with properties calculated at the PBE level.

Unit cell a=6.0971 b=3.3493 c=6.9416 alpha=90.00 beta=107.05 gamma=90.00
With the nearest neighbours (Å) after each atom.
Atoms (fractional coordinates):
Ag (0.1670, 0.2500, 0.3507)  3 O 2.26-2.48, 1 F 2.40
Ag (0.8330, 0.7500, 0.6493)  3 O 2.26-2.48, 1 F 2.40
P (0.3441, 0.2500, 0.8565)  1 O 1.53, 2 F 1.65-1.68
P (0.6559, 0.7500, 0.1435)  1 O 1.53, 2 F 1.65-1.68
O (0.1377, 0.2500, 0.6675)  1 P 1.53
O (0.4092, 0.7500, 0.9145)  3 P 1.74-1.84
O (0.5908, 0.2500, 0.0855)  3 P 1.74-1.84
O (0.8623, 0.7500, 0.3325)  1 P 1.53
F (0.1808, 0.2500, 0.0093)  1 P 1.65
F (0.4639, 0.7500, 0.2746)  1 P 1.68
F (0.5361, 0.2500, 0.7254)  1 P 1.68
F (0.8192, 0.7500, 0.9907)  1 P 1.65

Symmetry: P2_1/m (11)
Raw total energy: -5.23 eV/atom

---

[2]
Below is an optimized crystal structure of AgS2O6F2, with properties calculated at the PBE level.

Unit cell a=9.7866 b=7.5519 c=8.6869 alpha=90.00 beta=114.28 gamma=90.00
With the nearest neighbours (Å) after each atom.
Atoms (fractional coordinates):
Ag (0.0000, 0.0000, 0.0000)  4 O 2.17-2.25
Ag (0.0000, 0.5000, 0.5000)  4 O 2.17-2.25
Ag (0.5000, 0.0000, 0.5000)  4 O 2.18-2.19
Ag (0.5000, 0.5000, 0.0000)  4 O 2.18-2.19
S (0.1497, 0.2300, 0.3292)  3 O 1.43-1.46, 1 F 1.59
S (0.1497, 0.2700, 0.8292)  3 O 1.43-1.46, 1 F 1.59
S (0.3406, 0.7258, 0.2046)  3 O 1.43-1.47, 1 F 1.58
S (0.3406, 0.7742, 0.7046)  3 O 1.43-1.47, 1 F 1.58
S (0.6594, 0.2258, 0.2954)  3 O 1.43-1.47, 1 F 1.58
S (0.6594, 0.2742, 0.7954)  3 O 1.43-1.47, 1 F 1.58
S (0.8503, 0.7300, 0.1708)  3 O 1.43-1.46, 1 F 1.59
S (0.8503, 0.7700, 0.6708)  3 O 1.43-1.46, 1 F 1.59
O (0.0139, 0.2289, 0.1722)  1 S 1.46
O (0.0139, 0.2711, 0.6722)  1 S 1.46
O (0.1702, 0.1072, 0.9276)  1 S 1.46
O (0.1702, 0.3928, 0.4276)  1 S 1.46
O (0.2047, 0.6949, 0.6951)  1 S 1.43
O (0.2047, 0.8051, 0.1951)  1 S 1.43
O (0.2837, 0.1737, 0.3143)  1 S 1.43
O (0.2837, 0.3263, 0.8143)  1 S 1.43
O (0.3313, 0.6582, 0.0432)  1 S 1.46
O (0.3313, 0.8418, 0.5432)  1 S 1.46
O (0.4805, 0.6758, 0.7936)  1 S 1.47
O (0.4805, 0.8242, 0.2936)  1 S 1.47
O (0.5195, 0.1758, 0.7064)  1 S 1.47
O (0.5195, 0.3242, 0.2064)  1 S 1.47
O (0.6687, 0.1582, 0.4568)  1 S 1.46
O (0.6687, 0.3418, 0.9568)  1 S 1.46
O (0.7163, 0.6737, 0.1857)  1 S 1.43
O (0.7163, 0.8263, 0.6857)  1 S 1.43
O (0.7953, 0.1949, 0.8049)  1 S 1.43
O (0.7953, 0.3051, 0.3049)  1 S 1.43
O (0.8298, 0.6072, 0.5724)  1 S 1.46
O (0.8298, 0.8928, 0.0724)  1 S 1.46
O (0.9861, 0.7289, 0.3278)  1 S 1.46
O (0.9861, 0.7711, 0.8278)  1 S 1.46
F (0.1144, 0.0860, 0.4412)  1 S 1.59
F (0.1144, 0.4140, 0.9412)  1 S 1.59
F (0.3630, 0.5556, 0.3185)  1 S 1.58
F (0.3630, 0.9444, 0.8185)  1 S 1.58
F (0.6370, 0.0556, 0.1815)  1 S 1.58
F (0.6370, 0.4444, 0.6815)  1 S 1.58
F (0.8856, 0.5860, 0.0588)  1 S 1.59
F (0.8856, 0.9140, 0.5588)  1 S 1.59

Symmetry: P2_1/c (14)
Raw total energy: -5.22 eV/atom

---

[3]
Below is an optimized crystal structure of AgSO3F, with properties calculated at the PBE level.

Unit cell a=5.7677 b=5.7677 c=4.6115 alpha=94.07 beta=94.07 gamma=83.37
With the nearest neighbours (Å) after each atom.
Atoms (fractional coordinates):
Ag (0.2372, 0.7628, 0.0000)  4 O 2.24-2.41
Ag (0.7628, 0.2372, 0.0000)  4 O 2.24-2.41
S (0.2734, 0.2734, 0.3929)  3 O 1.44-1.45
S (0.7266, 0.7266, 0.6071)  3 O 1.44-1.45
O (0.1076, 0.1076, 0.2967)  1 S 1.45
O (0.1935, 0.5139, 0.3391)  1 S 1.44
O (0.4861, 0.8065, 0.6609)  1 S 1.44
O (0.5139, 0.1935, 0.3391)  1 S 1.44
O (0.8065, 0.4861, 0.6609)  1 S 1.44
O (0.8924, 0.8924, 0.7033)  1 S 1.45
F (0.2763, 0.2763, 0.7459)  1 S 1.63
F (0.7237, 0.7237, 0.2541)  1 S 1.63

Symmetry: C2/m (12)
Raw total energy: -5.05 eV/atom

---

[4]
Below is an optimized crystal structure of AgSbSO2F6, with properties calculated at the PBE level.

Unit cell a=7.2550 b=7.7350 c=12.8134 alpha=90.00 beta=123.52 gamma=90.00
With the nearest neighbours (Å) after each atom.
Atoms (fractional coordinates):
Ag (0.2079, 0.2356, 0.4684)  6 F 2.39-2.68, 2 O 2.40-2.42
Ag (0.2079, 0.2644, 0.9684)  6 F 2.39-2.68, 2 O 2.40-2.42
Ag (0.7921, 0.7356, 0.0316)  6 F 2.39-2.68, 2 O 2.40-2.42
Ag (0.7921, 0.7644, 0.5316)  6 F 2.39-2.68, 2 O 2.40-2.42
Sb (0.1306, 0.7365, 0.3749)  6 F 1.91-1.92
Sb (0.1306, 0.7635, 0.8749)  6 F 1.91-1.92
Sb (0.8694, 0.2365, 0.1251)  6 F 1.91-1.92
Sb (0.8694, 0.2635, 0.6251)  6 F 1.91-1.92
S (0.4976, 0.0730, 0.7725)  2 O 1.45
S (0.4976, 0.4270, 0.2725)  2 O 1.45
S (0.5024, 0.5730, 0.7275)  2 O 1.45
S (0.5024, 0.9270, 0.2275)  2 O 1.45
O (0.3601, 0.0318, 0.6400)  1 S 1.45
O (0.3601, 0.4682, 0.1400)  1 S 1.45
O (0.4173, 0.0771, 0.1463)  1 S 1.45
O (0.4173, 0.4229, 0.6463)  1 S 1.45
O (0.5827, 0.5771, 0.3537)  1 S 1.45
O (0.5827, 0.9229, 0.8537)  1 S 1.45
O (0.6399, 0.5318, 0.8600)  1 S 1.45
O (0.6399, 0.9682, 0.3600)  1 S 1.45
F (0.0323, 0.5353, 0.8782)  1 Sb 1.91
F (0.0323, 0.9647, 0.3782)  1 Sb 1.91
F (0.0837, 0.6697, 0.5023)  1 Sb 1.91
F (0.0837, 0.8303, 0.0023)  1 Sb 1.91
F (0.1693, 0.1767, 0.2512)  1 Sb 1.92
F (0.1693, 0.3233, 0.7512)  1 Sb 1.92
F (0.1746, 0.7002, 0.7451)  1 Sb 1.92
F (0.1746, 0.7998, 0.2451)  1 Sb 1.92
F (0.2291, 0.5060, 0.3759)  1 Sb 1.92
F (0.2291, 0.9940, 0.8759)  1 Sb 1.92
F (0.4279, 0.6988, 0.9997)  1 Sb 1.91
F (0.4279, 0.8012, 0.4997)  1 Sb 1.91
F (0.5721, 0.1988, 0.5003)  1 Sb 1.91
F (0.5721, 0.3012, 0.0003)  1 Sb 1.91
F (0.7709, 0.0060, 0.1241)  1 Sb 1.92
F (0.7709, 0.4940, 0.6241)  1 Sb 1.92
F (0.8254, 0.2002, 0.7549)  1 Sb 1.92
F (0.8254, 0.2998, 0.2549)  1 Sb 1.92
F (0.8307, 0.6767, 0.2488)  1 Sb 1.92
F (0.8307, 0.8233, 0.7488)  1 Sb 1.92
F (0.9163, 0.1697, 0.9977)  1 Sb 1.91
F (0.9163, 0.3303, 0.4977)  1 Sb 1.91
F (0.9677, 0.0353, 0.6218)  1 Sb 1.91
F (0.9677, 0.4647, 0.1218)  1 Sb 1.91

Symmetry: P2_1/c (14)
Raw total energy: -4.66 eV/atom

---

[5]
Below is an optimized crystal structure of Ag3SeO3F3, with properties calculated at the PBE level.

Unit cell a=5.6443 b=5.6443 c=5.6443 alpha=61.35 beta=61.35 gamma=61.35
With the nearest neighbours (Å) after each atom.
Atoms (fractional coordinates):
Ag (0.0000, 0.0000, 0.0000)  3 F 2.34
Ag (0.2238, 0.2238, 0.2238)  3 F 2.30, 3 O 2.31
Ag (0.4784, 0.4784, 0.4784)  3 O 2.29
Se (0.7505, 0.7505, 0.7505)  3 O 1.73
O (0.0538, 0.5127, 0.8429)  1 Se 1.73
O (0.5127, 0.8429, 0.0538)  1 Se 1.73
O (0.8429, 0.0538, 0.5127)  1 Se 1.73
F (0.3991, 0.9298, 0.6000)  1 Se 2.13, 2 Ag 2.30-2.34
F (0.6000, 0.3991, 0.9298)  1 Se 2.13, 2 Ag 2.30-2.34
F (0.9298, 0.6000, 0.3991)  1 Se 2.13, 2 Ag 2.30-2.34

Symmetry: R3 (146)
Raw total energy: -3.98 eV/atom

---

[6]
Below is an optimized crystal structure of Sr2AgO6F, with properties calculated at the PBE level.

Unit cell a=6.1273 b=6.1273 c=6.1273 alpha=129.76 beta=129.76 gamma=73.79
With the nearest neighbours (Å) after each atom.
Atoms (fractional coordinates):
Sr (0.2500, 0.7500, 0.5000)  8 O 2.54-2.63
Sr (0.7500, 0.2500, 0.5000)  8 O 2.54-2.63
Ag (0.0000, 0.0000, 0.0000)  6 O 2.05-2.20
O (0.0980, 0.5888, 0.6868)  1 O 1.38
O (0.2091, 0.2091, 0.0000)  1 Ag 2.05
O (0.4112, 0.0980, 0.5093)  1 O 1.38
O (0.5888, 0.9020, 0.4907)  1 O 1.38
O (0.7909, 0.7909, 0.0000)  1 Ag 2.05
O (0.9020, 0.4112, 0.3132)  1 O 1.38
F (0.5000, 0.5000, 0.0000)  4 O 2.14

Symmetry: I4/m (87)
Raw total energy: -4.85 eV/atom